No. 1
KSnPb | Alexandria | GGA-PBE | relaxed; electronic total energy = -3.1218 eV/atom; ΔE_f = -17.90 kJ/mol of atoms; relative energy among the computed polymorphs = 0.000 eV per atom; space-group type = Immm
1.0
-4.527 0.076 -0.596
0.775 -3.230 -6.298
1.367 -4.553 6.529
K Sn Pb
2 2 2
direct
0.310 0.310 0.620
0.690 0.690 0.380
0.610 0.110 0.220
0.390 0.890 0.780
0.000 0.241 0.000
0.000 0.759 0.000

No. 2
Pu6GeRu5 | Alexandria | GGA-PBE | relaxed; electronic total energy = -11.5116 eV/atom; ΔE_f = -9.26 kJ/mol of atoms; relative energy among the computed polymorphs = 0.048 eV per atom; space-group type = Immm
1.0
3.902 -0.003 -1.094
-3.117 7.293 -3.627
0.326 -0.769 8.681
Ru Ge Pu
5 1 6
direct
0.500 0.178 0.822
0.000 0.332 0.668
0.500 0.500 0.500
0.000 0.668 0.332
0.500 0.822 0.178
0.000 0.000 0.000
0.244 0.079 0.408
0.756 0.592 0.921
0.773 0.273 0.273
0.227 0.727 0.727
0.244 0.408 0.079
0.756 0.921 0.592